Cr2CdCl | PBE-GGA | relaxed

Cell lengths 3.0911, 3.0911, 25.4794 Å; angles 90.00, 90.00, 120.00 degrees
Space group R3m (No. 160, hexagonal axes)
Asymmetric unit:
Cr: 0.0000 0.0000 0.0000 x3
Cr: 0.0000 0.0000 0.2714 x3
Cd: 0.0000 0.0000 0.7595 x3
Cl: 0.0000 0.0000 0.5348 x3



CrCdCl2 | PBE-GGA | relaxed

Cell lengths 3.9069, 3.9069, 12.4356 Å; angles 90.00, 90.00, 90.00 degrees
Space group I-4m2 (No. 119)
Asymmetric unit:
Cr: 0.0000 0.0000 0.0000 x2
Cd: 0.0000 0.5000 0.7500 x2
Cl: 0.0000 0.0000 0.5000 x2
Cl: 0.0000 0.5000 0.2500 x2



CsCrCd2Cl8 | PBE-GGA | relaxed

Cell lengths 10.7043, 7.0479, 9.9742 Å; angles 90.00, 95.77, 90.00 degrees
Space group C2/m (No. 12)
Asymmetric unit:
Cs: 0.0000 0.0000 0.0000 x2
Cr: 0.0000 0.0000 0.5000 x2
Cd: 0.1363 0.5000 0.3172 x4
Cl: 0.0314 0.2339 0.6700 x8
Cl: 0.1803 0.5000 0.0851 x4
Cl: 0.2164 0.0000 0.4711 x4



Cs2CrCdCl6 | PBE-GGA | relaxed

Cell lengths 10.4116, 10.4116, 10.4116 Å; angles 90.00, 90.00, 90.00 degrees
Space group Fm-3m (No. 225)
Asymmetric unit:
Cs: 0.2500 0.2500 0.2500 x8
Cr: 0.0000 0.0000 0.0000 x4
Cd: 0.0000 0.0000 0.5000 x4
Cl: 0.0000 0.0000 0.2406 x24



CsCr2CdCl8 | PBE-GGA | relaxed

Cell lengths 6.2445, 7.3420, 8.1617 Å; angles 89.88, 68.78, 73.11 degrees
Space group P-1 (No. 2)
Asymmetric unit:
Cs: 0.0000 0.0000 0.0000 x1
Cr: 0.9997 0.2545 0.5001 x2
Cd: 0.0000 0.5000 0.0000 x1
Cl: 0.2257 0.4439 0.5582 x2
Cl: 0.2282 0.9435 0.5474 x2
Cl: 0.2548 0.1994 0.2044 x2
Cl: 0.2554 0.6757 0.2054 x2



CsCrCdCl6 | PBE-GGA | relaxed

Cell lengths 6.6354, 6.6354, 7.7211 Å; angles 90.00, 90.00, 120.00 degrees
Space group P312 (No. 149)
Asymmetric unit:
Cs: 0.0000 0.0000 0.0000 x1
Cr: 0.3333 0.6667 0.5000 x1
Cd: 0.6667 0.3333 0.5000 x1
Cl: 0.0335 0.3883 0.6802 x6



Going through the records in order, we get E values of -5.410, -3.699, -3.481, -3.760, -4.038, -3.824 eV per atom.